Record 1
The following is a PBE calculation of crystalline La3ZnRe at its relaxed geometry, from Alexandria via LeMat-Bulk.

## Properties
The value obtained for the formation energy is 0.22 eV per atom. The calculation puts the raw total energy at -27.43 eV/cell. The calculated density is 6.53 g cm⁻³.

Unit cell a=5.5400 b=5.5400 c=5.5400 alpha=90.00 beta=90.00 gamma=90.00
With the nearest neighbours (Å) after each atom.
Space group Pm-3m (No. 221)
One atom of each set of equivalent atoms:
1 La 0.0000 0.0000 0.5000 (multiplicity 3)  2 Re 2.77
2 Zn 0.5000 0.5000 0.5000 (multiplicity 1)  12 La 3.92
3 Re 0.0000 0.0000 0.0000 (multiplicity 1)  6 La 2.77

Record 2
The following is a PBE calculation of crystalline La2Zn2Re at its relaxed geometry, from Alexandria via LeMat-Bulk.

## Properties
The value obtained for the formation energy is 0.13 eV per atom. The calculation puts the raw total energy at -48.37 eV/cell. The calculated density is 8.12 g cm⁻³.

Unit cell a=3.5583 b=3.5583 c=19.2084 alpha=90.00 beta=90.00 gamma=90.00
With the nearest neighbours (Å) after each atom.
Space group I4/mmm (No. 139)
One atom of each set of equivalent atoms:
1 La 0.0000 0.0000 0.0909 (multiplicity 4)  4 Re 3.06
2 Zn 0.0000 0.5000 0.2500 (multiplicity 4)  4 Zn 2.52
3 Re 0.0000 0.0000 0.5000 (multiplicity 2)  8 La 3.06

Record 3
The following is a PBE calculation of crystalline La2Zn2Re at its relaxed geometry, from Alexandria via LeMat-Bulk.

## Properties
The value obtained for the formation energy is 0.57 eV per atom. The calculation puts the raw total energy at -44.01 eV/cell. The calculated density is 8.35 g cm⁻³.

Unit cell a=8.5856 b=8.5856 c=3.2113 alpha=90.00 beta=90.00 gamma=90.00
With the nearest neighbours (Å) after each atom.
Space group P4/mbm (No. 127)
One atom of each set of equivalent atoms:
1 La 0.1946 0.3054 0.0000 (multiplicity 4)  6 Zn 2.94-3.12, 2 Re 3.11, 2 La 3.21
2 Zn 0.1025 0.6025 0.5000 (multiplicity 4)  1 Zn 2.49
3 Re 0.0000 0.0000 0.0000 (multiplicity 2)  4 La 3.11, 2 Re 3.21

Record 4
The following is a PBE calculation of crystalline LaZn3Re at its relaxed geometry, from Alexandria via LeMat-Bulk.

## Properties
The value obtained for the formation energy is 2.01 eV per atom. The calculation puts the raw total energy at -11.12 eV/cell. The calculated density is 5.10 g cm⁻³.

Unit cell a=5.5363 b=5.5363 c=5.5363 alpha=90.00 beta=90.00 gamma=90.00
With the nearest neighbours (Å) after each atom.
Space group Pm-3m (No. 221)
One atom of each set of equivalent atoms:
1 La 0.0000 0.0000 0.0000 (multiplicity 1)  6 Zn 2.77
2 Zn 0.0000 0.0000 0.5000 (multiplicity 3)  2 La 2.77
3 Re 0.5000 0.5000 0.5000 (multiplicity 1)  12 Zn 3.91

Record 5
The following is a PBE calculation of crystalline LaZnRe4 at its relaxed geometry, from Alexandria via LeMat-Bulk.

## Properties
The value obtained for the formation energy is 0.35 eV per atom. The calculation puts the raw total energy at -215.53 eV/cell. The calculated density is 14.22 g cm⁻³.

Unit cell a=7.6259 b=7.6259 c=7.6259 alpha=90.00 beta=90.00 gamma=90.00
With the nearest neighbours (Å) after each atom.
Space group F-43m (No. 216)
One atom of each set of equivalent atoms:
1 La 0.0000 0.0000 0.0000 (multiplicity 4)  12 Re 3.16, 4 Zn 3.30
2 Zn 0.2500 0.2500 0.2500 (multiplicity 4)  12 Re 3.16, 4 La 3.30
3 Re 0.1245 0.1245 0.6245 (multiplicity 16)  6 Re 2.69-2.71

Record 6
The following is a PBE calculation of crystalline LaZn3Re at its relaxed geometry, from Alexandria via LeMat-Bulk.

## Properties
The value obtained for the formation energy is 0.17 eV per atom. The calculation puts the raw total energy at -20.32 eV/cell. The calculated density is 7.67 g cm⁻³.

Unit cell a=4.8335 b=4.8335 c=4.8335 alpha=90.00 beta=90.00 gamma=90.00
With the nearest neighbours (Å) after each atom.
Space group Pm-3m (No. 221)
One atom of each set of equivalent atoms:
1 La 0.0000 0.0000 0.0000 (multiplicity 1)  12 Zn 3.42
2 Zn 0.0000 0.5000 0.5000 (multiplicity 3)  2 Re 2.42
3 Re 0.5000 0.5000 0.5000 (multiplicity 1)  6 Zn 2.42

Record 7
The following is a PBE calculation of crystalline LaZr2Re at its relaxed geometry, from Alexandria via LeMat-Bulk.

## Properties
The value obtained for the formation energy is 0.13 eV per atom. The calculation puts the raw total energy at -67.87 eV/cell. The calculated density is 9.12 g cm⁻³.

Unit cell a=3.4894 b=5.0321 c=10.5283 alpha=90.00 beta=90.00 gamma=90.00
With the nearest neighbours (Å) after each atom.
Space group Imm2 (No. 44)
One atom of each set of equivalent atoms:
1 La 0.0000 0.0000 0.0000 (multiplicity 2)  2 Re 3.00, 4 Zr 3.16
2 Zr 0.0000 0.0000 0.4252 (multiplicity 2)  2 Re 2.68
3 Zr 0.0000 0.5000 0.2212 (multiplicity 2)  4 Re 3.06, 2 Zr 3.31, 4 La 3.42-3.43
4 Re 0.0000 0.5000 0.7320 (multiplicity 2)  2 Zr 2.68

Record 8
The following is a PBE calculation of crystalline LaZr2Re at its relaxed geometry, from Alexandria via LeMat-Bulk.

## Properties
The value obtained for the formation energy is 0.24 eV per atom. The calculation puts the raw total energy at -33.52 eV/cell. The calculated density is 8.81 g cm⁻³.

Unit cell a=3.4328 b=4.1695 c=6.6846 alpha=90.00 beta=90.00 gamma=90.00
With the nearest neighbours (Å) after each atom.
Space group Pmm2 (No. 25)
One atom of each set of equivalent atoms:
1 La 0.0000 0.0000 0.0000 (multiplicity 1)  1 Zr 2.98, 4 Re 3.33
2 Zr 0.0000 0.0000 0.4452 (multiplicity 1)  4 Re 2.89, 1 La 2.98, 4 Zr 3.11
3 Zr 0.5000 0.5000 0.6774 (multiplicity 1)  1 Re 2.58
4 Re 0.5000 0.5000 0.2910 (multiplicity 1)  5 Zr 2.58-2.89

Record 9
The following is a PBE calculation of crystalline LaZrRe2 at its relaxed geometry, from Alexandria via LeMat-Bulk.

## Properties
The value obtained for the formation energy is 0.46 eV per atom. The calculation puts the raw total energy at -73.10 eV/cell. The calculated density is 12.99 g cm⁻³.

Unit cell a=5.9957 b=9.3445 c=2.9662 alpha=90.00 beta=112.05 gamma=90.00
With the nearest neighbours (Å) after each atom.
Space group C2/m (No. 12)
One atom of each set of equivalent atoms:
1 La 0.0000 0.0000 0.0000 (multiplicity 2)  4 Re 2.87, 2 La 2.97, 2 Zr 3.00
2 Zr 0.0000 0.5000 0.0000 (multiplicity 2)  4 Re 2.87, 2 Zr 2.97, 2 La 3.00
3 Re 0.2500 0.2500 0.5000 (multiplicity 4)  2 Zr 2.87, 2 La 2.87, 4 Re 2.97-3.00

Record 10
The following is a PBE calculation of crystalline LaZrRe2 at its relaxed geometry, from Alexandria via LeMat-Bulk.

## Properties
The value obtained for the formation energy is 0.30 eV per atom. The calculation puts the raw total energy at -74.38 eV/cell. The calculated density is 11.94 g cm⁻³.

Unit cell a=10.4478 b=3.2279 c=5.2430 alpha=90.00 beta=108.65 gamma=90.00
With the nearest neighbours (Å) after each atom.
Space group Cm (No. 8)
One atom of each set of equivalent atoms:
1 La 0.0000 0.0000 0.0000 (multiplicity 2)  1 Zr 2.98, 6 Re 3.03-3.19, 2 La 3.23
2 Zr 0.2923 0.5000 0.2797 (multiplicity 2)  4 Re 2.85-2.99, 1 La 2.98
3 Re 0.0401 0.5000 0.5414 (multiplicity 2)  2 Re 2.51
4 Re 0.2340 0.0000 0.6775 (multiplicity 2)  2 Re 2.51

Record 11
The following is a PBE calculation of crystalline LaZr2Re at its relaxed geometry, from Alexandria via LeMat-Bulk.

## Properties
The value obtained for the formation energy is 0.36 eV per atom. The calculation puts the raw total energy at -66.09 eV/cell. The calculated density is 9.79 g cm⁻³.

Unit cell a=6.0599 b=9.7057 c=3.0945 alpha=90.00 beta=108.86 gamma=90.00
With the nearest neighbours (Å) after each atom.
Space group C2/m (No. 12)
One atom of each set of equivalent atoms:
1 La 0.0000 0.0000 0.0000 (multiplicity 2)  4 Zr 3.01, 2 Re 3.03, 2 La 3.09
2 Zr 0.2500 0.2500 0.5000 (multiplicity 4)  2 La 3.01, 2 Re 3.01, 4 Zr 3.03-3.09
3 Re 0.0000 0.5000 0.0000 (multiplicity 2)  4 Zr 3.01, 2 La 3.03, 2 Re 3.09

Record 12
The following is a PBE calculation of crystalline LaZrRe2 at its relaxed geometry, from Alexandria via LeMat-Bulk.

## Properties
The value obtained for the formation energy is 0.35 eV per atom. The calculation puts the raw total energy at -36.98 eV/cell. The calculated density is 11.60 g cm⁻³.

Unit cell a=3.1145 b=4.4181 c=6.3549 alpha=90.00 beta=99.60 gamma=90.00
With the nearest neighbours (Å) after each atom.
Space group P2/m (No. 10)
One atom of each set of equivalent atoms:
1 La 0.0000 0.0000 0.0000 (multiplicity 1)  4 Re 3.08, 2 La 3.11, 2 Zr 3.30
2 Zr 0.5000 0.0000 0.5000 (multiplicity 1)  8 Re 2.79-3.11, 2 Zr 3.11
3 Re 0.1601 0.5000 0.6851 (multiplicity 2)  1 Re 2.40

Record 13
The following is a PBE calculation of crystalline LaZr2Re at its relaxed geometry, from Alexandria via LeMat-Bulk.

## Properties
The value obtained for the formation energy is -0.04 eV per atom. The calculation puts the raw total energy at -34.61 eV/cell. The calculated density is 8.92 g cm⁻³.

Unit cell a=3.3493 b=3.3493 c=8.4246 alpha=90.00 beta=90.00 gamma=90.00
With the nearest neighbours (Å) after each atom.
Space group P4/mmm (No. 123)
One atom of each set of equivalent atoms:
1 La 0.0000 0.0000 0.0000 (multiplicity 1)  4 La 3.35, 8 Zr 3.55
2 Zr 0.5000 0.5000 0.3142 (multiplicity 2)  4 Re 2.84, 1 Zr 3.13
3 Re 0.0000 0.0000 0.5000 (multiplicity 1)  8 Zr 2.84

Record 14
The following is a PBE calculation of crystalline LaZr2Re2 at its relaxed geometry, from Alexandria via LeMat-Bulk.

## Properties
The value obtained for the formation energy is 0.15 eV per atom. The calculation puts the raw total energy at -92.38 eV/cell. The calculated density is 10.78 g cm⁻³.

Unit cell a=8.0654 b=8.0654 c=3.2844 alpha=90.00 beta=90.00 gamma=90.00
With the nearest neighbours (Å) after each atom.
Space group P4/mbm (No. 127)
One atom of each set of equivalent atoms:
1 La 0.0000 0.0000 0.0000 (multiplicity 2)  4 Re 3.08, 2 La 3.28
2 Zr 0.1410 0.3590 0.5000 (multiplicity 4)  6 Re 2.86-2.91
3 Re 0.1486 0.6486 0.0000 (multiplicity 4)  6 Zr 2.86-2.91, 2 La 3.08